1.
VASP calculation (PBE) on TlSn4Hg after structural relaxation.

The energy above the most stable polymorph in this dataset is 39 meV per atom. The value obtained for the total energy is -3.0023 eV/atom.

The space group is F-43m (No. 216) and the conventional cell measures 8.917, 8.917 and 8.917 Å, with angles of 90.00, 90.00 and 90.00 degrees. The inequivalent atoms are Tl at (0.000, 0.000, 0.000), Sn at (0.125, 0.125, 0.625) and Hg at (0.250, 0.250, 0.250).



2.
VASP calculation (PBE) on TlSnHg2 after structural relaxation.

The value obtained for the total energy is -1.6930 eV/atom.

The space group is P4/mmm (No. 123) and the conventional cell measures 5.743, 5.743 and 3.355 Å, with angles of 90.00, 90.00 and 90.00 degrees. The inequivalent atoms are Tl at (0.000, 0.000, 0.000), Sn at (0.500, 0.500, 0.000) and Hg at (0.000, 0.500, 0.500).



3.
VASP calculation (PBE) on Tl2SnHg6 after structural relaxation.

The energy above the most stable polymorph in this dataset is 0 meV per atom. The value obtained for the total energy is -1.1432 eV/atom.

The space group is C2/m (No. 12) and the conventional cell measures 14.173, 10.459 and 3.397 Å, with angles of 90.00, 90.25 and 90.00 degrees. The inequivalent atoms are Tl at (0.180, 0.000, 0.000), Sn at (0.000, 0.500, 0.000), Hg at (0.000, 0.150, 0.500) and Hg at (0.159, 0.334, 0.495).



| no. | formation enthalpy at 0 K (eV per atom) | ρ (kg/m3) | DOS at the Fermi energy (states/eV per atom) |
| --- | --- | --- | --- |
| 1 | 0.111 | 8242 | 0.733 |
| 2 | 0.050 | 10870 | 0.613 |
| 3 | 0.029 | 11417 | 0.396 |